Record 1
{"formula": "LiRePb2", "functional": "PBEsol", "state": "relaxed", "lattice_angstrom": [[-2.397, 2.397, 3.361], [2.397, -2.397, 3.361], [2.397, 2.397, -3.361]], "species": ["Li", "Re", "Pb", "Pb"], "frac_coords": [[0.000, 0.000, 0.000], [0.500, 0.500, 0.000], [0.250, 0.750, 0.500], [0.750, 0.250, 0.500]], "formation_energy_ev_per_atom": 0.553, "de_polymorph_mev_per_atom": 28, "sg": "No. 139"}


Record 2
{"formula": "Si2HgMo", "functional": "PBEsol", "state": "relaxed", "lattice_angstrom": [[1.737, -2.222, 0.000], [1.737, 2.222, 0.000], [0.000, 0.000, 8.387]], "species": ["Si", "Si", "Hg", "Mo"], "frac_coords": [[0.000, 0.000, 0.000], [0.500, 0.500, 0.224], [0.000, 0.000, 0.508], [0.500, 0.500, 0.788]], "e_form_raw_ev_per_atom": 0.358, "sg": "No. 35"}


Record 3
{"formula": "ScAgPt2", "functional": "PBEsol", "state": "relaxed", "lattice_angstrom": [[1.469, 0.848, 8.826], [-1.469, 0.848, 8.826], [0.000, -1.696, 8.826]], "species": ["Sc", "Ag", "Pt", "Pt"], "frac_coords": [[0.000, 0.000, 0.000], [0.500, 0.500, 0.500], [0.254, 0.254, 0.254], [0.746, 0.746, 0.746]], "formation_energy_ev_per_atom": -0.428, "sg": "No. 166"}


Record 4
{"formula": "SrCaPb2", "functional": "PBEsol", "state": "relaxed", "lattice_angstrom": [[5.640, 0.000, 0.000], [0.000, 5.640, 0.000], [0.000, 0.000, 3.902]], "species": ["Sr", "Ca", "Pb", "Pb"], "frac_coords": [[0.000, 0.000, 0.000], [0.500, 0.500, 0.000], [0.000, 0.500, 0.500], [0.500, 0.000, 0.500]], "formation_energy_ev_per_atom": -0.533, "sg": "No. 123"}


Record 5
{"formula": "MgHg2BiC", "functional": "PBEsol", "state": "relaxed", "lattice_angstrom": [[5.172, 0.000, 0.000], [0.000, 5.172, 0.000], [0.000, 0.000, 5.528]], "species": ["Mg", "Hg", "Hg", "Bi", "C"], "frac_coords": [[0.000, 0.000, 0.000], [0.000, 0.500, 0.000], [0.500, 0.000, 0.000], [0.000, 0.000, 0.500], [0.500, 0.500, 0.500]], "formation_energy_ev_per_atom": 1.653, "sg": "No. 123"}


Record 6
{"formula": "ScZn2Ni", "functional": "PBEsol", "state": "relaxed", "lattice_angstrom": [[0.000, 3.053, 3.053], [3.053, 0.000, 3.053], [3.053, 3.053, 0.000]], "species": ["Sc", "Zn", "Zn", "Ni"], "frac_coords": [[0.000, 0.000, 0.000], [0.250, 0.250, 0.250], [0.500, 0.500, 0.500], [0.750, 0.750, 0.750]], "formation_energy_ev_per_atom": -0.340, "sg": "No. 216"}


Record 7
{"formula": "HfZnSi2Tc", "functional": "PBEsol", "state": "relaxed", "lattice_angstrom": [[4.368, 0.000, 0.000], [0.000, 4.368, 0.000], [0.000, 0.000, 4.557]], "species": ["Hf", "Zn", "Si", "Si", "Tc"], "frac_coords": [[0.000, 0.000, 0.000], [0.500, 0.500, 0.500], [0.000, 0.500, 0.500], [0.500, 0.000, 0.500], [0.500, 0.500, 0.000]], "e_form_raw_ev_per_atom": 0.948, "sg": "No. 123"}


Record 8
{"formula": "Be4FeGe", "functional": "PBEsol", "state": "relaxed", "lattice_angstrom": [[0.000, 2.962, 2.962], [2.962, 0.000, 2.962], [2.962, 2.962, 0.000]], "species": ["Be", "Be", "Be", "Be", "Fe", "Ge"], "frac_coords": [[0.124, 0.124, 0.124], [0.124, 0.124, 0.628], [0.124, 0.628, 0.124], [0.628, 0.124, 0.124], [0.750, 0.750, 0.750], [0.500, 0.500, 0.500]], "formation_energy_ev_per_atom": -0.112, "sg": "No. 216"}


Record 9
{"formula": "BeSbMo", "functional": "PBEsol", "state": "relaxed", "lattice_angstrom": [[-1.629, 1.629, 4.261], [1.629, -1.629, 4.261], [1.629, 1.629, -4.261]], "species": ["Be", "Sb", "Mo"], "frac_coords": [[0.000, 0.000, 0.000], [0.318, 0.318, 0.000], [0.638, 0.638, 0.000]], "e_form_raw_ev_per_atom": 0.137, "sg": "No. 107"}


Record 10
{"formula": "PtRhAu2", "functional": "PBEsol", "state": "relaxed", "lattice_angstrom": [[2.787, 0.000, 0.000], [0.000, 2.787, 0.000], [0.000, 0.000, 8.024]], "species": ["Pt", "Rh", "Au", "Au"], "frac_coords": [[0.000, 0.000, 0.000], [0.500, 0.500, 0.225], [0.000, 0.000, 0.474], [0.500, 0.500, 0.741]], "formation_energy_ev_per_atom": 0.074, "de_polymorph_mev_per_atom": 0, "sg": "No. 99"}


Record 11
{"formula": "CdIn2Se", "functional": "PBEsol", "state": "relaxed", "lattice_angstrom": [[0.000, 3.667, 3.667], [3.667, 0.000, 3.667], [3.667, 3.667, 0.000]], "species": ["Cd", "In", "In", "Se"], "frac_coords": [[0.000, 0.000, 0.000], [0.250, 0.250, 0.250], [0.750, 0.750, 0.750], [0.500, 0.500, 0.500]], "e_form_raw_ev_per_atom": -0.024, "de_polymorph_mev_per_atom": 89, "sg": "No. 225"}


Record 12
{"formula": "Ba2TlPb", "functional": "PBEsol", "state": "relaxed", "lattice_angstrom": [[5.940, 0.000, 0.000], [0.000, 5.940, 0.000], [0.000, 0.000, 4.245]], "species": ["Ba", "Ba", "Tl", "Pb"], "frac_coords": [[0.000, 0.500, 0.000], [0.500, 0.000, 0.000], [0.000, 0.000, 0.500], [0.500, 0.500, 0.500]], "formation_energy_ev_per_atom": -0.481, "sg": "No. 123"}


Record 13
{"formula": "ScBe3Re", "functional": "PBEsol", "state": "relaxed", "lattice_angstrom": [[4.202, 0.000, 0.000], [0.000, 4.202, 0.000], [0.000, 0.000, 4.202]], "species": ["Sc", "Be", "Be", "Be", "Re"], "frac_coords": [[0.000, 0.000, 0.000], [0.000, 0.500, 0.500], [0.500, 0.000, 0.500], [0.500, 0.500, 0.000], [0.500, 0.500, 0.500]], "formation_energy_ev_per_atom": 0.441, "sg": "No. 221"}


Record 14
{"formula": "RbGdMo2O8", "functional": "PBEsol", "state": "relaxed", "lattice_angstrom": [[5.319, -5.201, 0.000], [5.319, 5.201, 0.000], [-5.025, 0.000, 5.798]], "species": ["Rb", "Rb", "Gd", "Gd", "Mo", "Mo", "Mo", "Mo", "O", "O", "O", "O", "O", "O", "O", "O", "O", "O", "O", "O", "O", "O", "O", "O"], "frac_coords": [[0.196, 0.804, 0.750], [0.804, 0.196, 0.250], [0.230, 0.770, 0.250], [0.770, 0.230, 0.750], [0.305, 0.306, 0.762], [0.306, 0.305, 0.262], [0.694, 0.695, 0.738], [0.695, 0.694, 0.238], [0.053, 0.205, 0.695], [0.073, 0.388, 0.129], [0.205, 0.053, 0.195], [0.236, 0.387, 0.563], [0.368, 0.582, 0.027], [0.387, 0.236, 0.063], [0.388, 0.073, 0.629], [0.418, 0.632, 0.473], [0.582, 0.368, 0.527], [0.612, 0.927, 0.371], [0.613, 0.764, 0.937], [0.632, 0.418, 0.973], [0.764, 0.613, 0.437], [0.795, 0.947, 0.805], [0.927, 0.612, 0.871], [0.947, 0.795, 0.305]], "e_form_raw_ev_per_atom": -2.438, "sg": "No. 15"}


Record 15
{"formula": "AsIr2Pb", "functional": "PBEsol", "state": "relaxed", "lattice_angstrom": [[2.935, -4.617, 0.000], [2.935, 4.617, 0.000], [-1.476, 0.000, 2.559]], "species": ["As", "Ir", "Ir", "Pb"], "frac_coords": [[0.000, 0.000, 0.000], [0.000, 0.500, 0.000], [0.500, 0.000, 0.000], [0.500, 0.500, 0.000]], "formation_energy_ev_per_atom": 0.665, "de_polymorph_mev_per_atom": 428, "sg": "No. 12"}


Record 16
{"formula": "LiYCd2", "functional": "PBEsol", "state": "relaxed", "lattice_angstrom": [[0.000, 3.452, 3.452], [3.452, 0.000, 3.452], [3.452, 3.452, 0.000]], "species": ["Li", "Y", "Cd", "Cd"], "frac_coords": [[0.000, 0.000, 0.000], [0.250, 0.250, 0.250], [0.500, 0.500, 0.500], [0.750, 0.750, 0.750]], "formation_energy_ev_per_atom": -0.316, "sg": "No. 216"}


Record 17
{"formula": "CdHg2Sb", "functional": "PBEsol", "state": "relaxed", "lattice_angstrom": [[3.093, 0.000, 0.000], [0.000, 5.683, 0.000], [-0.208, 0.000, 5.730]], "species": ["Cd", "Hg", "Hg", "Sb"], "frac_coords": [[0.000, 0.000, 0.000], [0.423, 0.000, 0.503], [0.888, 0.500, 0.501], [0.902, 0.500, 0.002]], "e_form_raw_ev_per_atom": 0.041, "de_polymorph_mev_per_atom": 8, "sg": "No. 6"}


Record 18
{"formula": "CaFe2Ni", "functional": "PBEsol", "state": "relaxed", "lattice_angstrom": [[1.350, 0.779, 8.800], [-1.350, 0.779, 8.800], [0.000, -1.559, 8.800]], "species": ["Ca", "Fe", "Fe", "Ni"], "frac_coords": [[0.000, 0.000, 0.000], [0.239, 0.239, 0.239], [0.761, 0.761, 0.761], [0.500, 0.500, 0.500]], "formation_energy_ev_per_atom": 0.706, "sg": "No. 166"}


Record 19
{"formula": "ScIn2Au", "functional": "PBEsol", "state": "relaxed", "lattice_angstrom": [[4.326, 0.000, 0.000], [0.000, 4.326, 0.000], [0.000, 0.000, 4.274]], "species": ["Sc", "In", "In", "Au"], "frac_coords": [[0.000, 0.000, 0.000], [0.000, 0.500, 0.500], [0.500, 0.000, 0.500], [0.500, 0.500, 0.000]], "formation_energy_ev_per_atom": -0.492, "sg": "No. 123"}


Record 20
{"formula": "CaAcGa2", "functional": "PBEsol", "state": "relaxed", "lattice_angstrom": [[0.000, 3.756, 3.756], [3.756, 0.000, 3.756], [3.756, 3.756, 0.000]], "species": ["Ca", "Ac", "Ga", "Ga"], "frac_coords": [[0.000, 0.000, 0.000], [0.500, 0.500, 0.500], [0.250, 0.250, 0.250], [0.750, 0.750, 0.750]], "formation_energy_ev_per_atom": -0.459, "sg": "No. 225"}